[1]
Here is a relaxed structure of Tm5Tl4Pd from OQMD via LeMat-Bulk. Energies are from GGA-PBE.

The structure in POSCAR format:
```
Tm5Tl4Pd
1.0
3.524 0.000 0.000
0.000 3.524 0.000
0.000 0.000 20.333
Pd Tl Tm
1 4 5
direct
0.000 0.000 0.000 Pd
0.000 0.000 0.188 Tl
0.000 0.000 0.396 Tl
0.000 0.000 0.604 Tl
0.000 0.000 0.812 Tl
0.500 0.500 0.082 Tm
0.500 0.500 0.291 Tm
0.500 0.500 0.500 Tm
0.500 0.500 0.709 Tm
0.500 0.500 0.918 Tm
```

Calculated values
* symmetry: P4/mmm (123)
* calculated volume: 252.44 Å³/cell
* raw total energy: -4.13 eV per atom

***

[2]
Here is a relaxed structure of KCuSnSeS2 from OQMD via LeMat-Bulk. Energies are from GGA-PBE.

The structure in POSCAR format:
```
KCuSnSeS2
1.0
1.909 -7.291 0.000
1.909 7.291 0.000
0.000 0.000 10.630
Cu K S Se Sn
2 2 4 2 2
direct
0.546 0.454 0.250 Cu
0.454 0.546 0.750 Cu
0.250 0.750 0.250 K
0.750 0.250 0.750 K
0.618 0.382 0.058 S
0.618 0.382 0.442 S
0.382 0.618 0.558 S
0.382 0.618 0.942 S
0.936 0.064 0.250 Se
0.064 0.936 0.750 Se
0.000 0.000 0.000 Sn
0.000 0.000 0.500 Sn
```

Calculated values
* symmetry: Cmcm (63)
* calculated volume: 295.85 Å³/cell
* raw total energy: -3.98 eV per atom

***

[3]
Here is a relaxed structure of PrCd2Cu9 from OQMD via LeMat-Bulk. Energies are from GGA-PBE.

The structure in POSCAR format:
```
PrCd2Cu9
1.0
-1.615 -7.362 3.864
8.296 -1.688 0.251
0.325 2.261 4.444
Cd Cu Pr
4 18 2
direct
0.380 0.120 0.000 Cd
0.880 0.380 0.000 Cd
0.120 0.620 0.000 Cd
0.620 0.880 0.000 Cd
0.678 0.178 0.248 Cu
0.178 0.322 0.248 Cu
0.822 0.678 0.248 Cu
0.322 0.822 0.248 Cu
0.500 0.000 0.500 Cu
0.208 0.064 0.500 Cu
0.936 0.208 0.500 Cu
0.436 0.292 0.500 Cu
0.708 0.436 0.500 Cu
0.000 0.500 0.500 Cu
0.292 0.564 0.500 Cu
0.564 0.708 0.500 Cu
0.064 0.792 0.500 Cu
0.792 0.936 0.500 Cu
0.678 0.178 0.752 Cu
0.178 0.322 0.752 Cu
0.822 0.678 0.752 Cu
0.322 0.822 0.752 Cu
0.000 0.000 0.000 Pr
0.500 0.500 0.000 Pr
```

Calculated values
* symmetry: P4/mbm (127)
* calculated volume: 358.44 Å³/cell
* raw total energy: -3.44 eV per atom

***

[4]
Here is a relaxed structure of PmGdPO from OQMD via LeMat-Bulk. Energies are from GGA-PBE.

The structure in POSCAR format:
```
PmGdPO
1.0
4.337 0.000 0.000
0.000 4.337 0.000
0.000 0.000 8.859
Gd O P Pm
2 2 2 2
direct
0.000 0.000 0.101 Gd
0.500 0.500 0.899 Gd
0.500 0.000 0.000 O
0.000 0.500 0.000 O
0.500 0.500 0.295 P
0.000 0.000 0.705 P
0.500 0.000 0.500 Pm
0.000 0.500 0.500 Pm
```

Calculated values
* distance to the lowest polymorph of the same formula: 155 meV/atom
* symmetry: P4/nmm (129)
* calculated volume: 166.63 Å³/cell

***

[5]
Here is a relaxed structure of K2ZnReO6 from OQMD via LeMat-Bulk. Energies are from GGA-PBE.

The structure in POSCAR format:
```
K2ZnReO6
1.0
0.000 3.976 3.976
3.976 0.000 3.976
3.976 3.976 0.000
K O Re Zn
2 6 1 1
direct
0.250 0.250 0.250 K
0.750 0.750 0.750 K
0.237 0.763 0.237 O
0.763 0.763 0.237 O
0.763 0.237 0.237 O
0.237 0.237 0.763 O
0.763 0.237 0.763 O
0.237 0.763 0.763 O
0.000 0.000 0.000 Re
0.500 0.500 0.500 Zn
```

Calculated values
* symmetry: Fm-3m (225)
* calculated volume: 125.67 Å³/cell
* raw total energy: -6.02 eV per atom

***

[6]
Here is a relaxed structure of HfTlTeAuSe2 from OQMD via LeMat-Bulk. Energies are from GGA-PBE.

The structure in POSCAR format:
```
HfTlTeAuSe2
1.0
-8.293 -1.185 0.093
0.308 -1.886 3.479
2.569 8.811 4.551
Au Hf Se Te Tl
2 2 4 2 2
direct
0.575 0.250 0.113 Au
0.425 0.750 0.887 Au
0.813 0.750 0.334 Hf
0.187 0.250 0.666 Hf
0.776 0.750 0.066 Se
0.046 0.250 0.374 Se
0.954 0.750 0.626 Se
0.224 0.250 0.934 Se
0.579 0.250 0.377 Te
0.421 0.750 0.623 Te
0.225 0.750 0.194 Tl
0.775 0.250 0.806 Tl
```

Calculated values
* distance to the lowest polymorph of the same formula: 31 meV/atom
* symmetry: P2_1/m (11)
* calculated volume: 317.12 Å³/cell

***

[7]
Here is a relaxed structure of CsNiPd from OQMD via LeMat-Bulk. Energies are from GGA-PBE.

The structure in POSCAR format:
```
CsNiPd
1.0
1.633 -4.469 -0.666
2.488 -2.192 3.477
-1.962 -3.659 2.417
Cs Ni Pd
1 1 1
direct
0.000 0.000 0.000 Cs
0.250 0.250 0.250 Ni
0.750 0.750 0.750 Pd
```

Calculated values
* distance to the lowest polymorph of the same formula: 442 meV/atom
* symmetry: F-43m (216)
* calculated volume: 78.41 Å³/cell

***

[8]
Here is a relaxed structure of PaOF2 from OQMD via LeMat-Bulk. Energies are from GGA-PBE.

The structure in POSCAR format:
```
PaOF2
1.0
4.347 -2.041 0.000
4.347 2.041 0.000
-2.930 0.000 6.997
F O Pa
4 2 2
direct
0.157 0.157 0.031 F
0.821 0.821 0.390 F
0.179 0.179 0.610 F
0.843 0.843 0.969 F
0.485 0.485 0.279 O
0.515 0.515 0.721 O
0.053 0.053 0.270 Pa
0.947 0.947 0.730 Pa
```

Calculated values
* symmetry: C2/m (12)
* calculated volume: 124.15 Å³/cell
* raw total energy: -7.67 eV per atom

***

[9]
Here is a relaxed structure of K2HfIrO6 from OQMD via LeMat-Bulk. Energies are from GGA-PBE.

The structure in POSCAR format:
```
K2HfIrO6
1.0
-3.155 -4.538 -1.130
-5.236 0.632 -2.002
-1.160 -1.369 -5.349
Hf Ir K O
1 1 2 6
direct
0.500 0.500 0.500 Hf
0.000 0.000 0.000 Ir
0.250 0.250 0.250 K
0.750 0.750 0.750 K
0.758 0.242 0.242 O
0.242 0.758 0.242 O
0.758 0.758 0.242 O
0.242 0.242 0.758 O
0.758 0.242 0.758 O
0.242 0.758 0.758 O
```

Calculated values
* symmetry: Fm-3m (225)
* calculated volume: 126.95 Å³/cell
* raw total energy: -6.94 eV per atom

***

[10]
Here is a relaxed structure of LiAsPd from OQMD via LeMat-Bulk. Energies are from GGA-PBE.

The structure in POSCAR format:
```
LiAsPd
1.0
0.992 2.143 3.421
-2.816 2.482 1.787
-1.665 -1.045 3.663
As Li Pd
1 1 1
direct
0.250 0.250 0.250 As
0.750 0.750 0.750 Li
0.000 0.000 0.000 Pd
```

Calculated values
* symmetry: F-43m (216)
* calculated volume: 50.80 Å³/cell
* raw total energy: -4.38 eV per atom

***

[11]
Here is a relaxed structure of RbNdLu from OQMD via LeMat-Bulk. Energies are from GGA-PBE.

The structure in POSCAR format:
```
RbNdLu
1.0
0.715 -5.862 0.962
-4.688 -3.367 1.577
-2.271 -3.964 -3.863
Lu Nd Rb
1 1 1
direct
0.000 0.000 0.000 Lu
0.250 0.250 0.250 Nd
0.750 0.750 0.750 Rb
```

Calculated values
* distance to the lowest polymorph of the same formula: 0 meV/atom
* symmetry: F-43m (216)
* calculated volume: 151.44 Å³/cell

***

[12]
Here is a relaxed structure of CoAg2Mo from OQMD via LeMat-Bulk. Energies are from GGA-PBE.

The structure in POSCAR format:
```
CoAg2Mo
1.0
0.000 3.138 3.138
3.138 0.000 3.138
3.138 3.138 0.000
Ag Co Mo
2 1 1
direct
0.000 0.000 0.000 Ag
0.250 0.250 0.250 Ag
0.750 0.750 0.750 Co
0.500 0.500 0.500 Mo
```

Calculated values
* symmetry: F-43m (216)
* calculated volume: 61.78 Å³/cell
* raw total energy: -5.26 eV per atom

***

[13]
Here is a relaxed structure of Gd2Er2GeI5 from OQMD via LeMat-Bulk. Energies are from GGA-PBE.

The structure in POSCAR format:
```
Gd2Er2GeI5
1.0
9.577 -2.105 0.000
9.577 2.105 0.000
-1.937 0.000 8.632
Er Gd Ge I
2 2 1 5
direct
0.645 0.645 0.074 Er
0.355 0.355 0.926 Er
0.000 0.000 0.213 Gd
0.000 0.000 0.787 Gd
0.500 0.500 0.000 Ge
0.827 0.827 0.163 I
0.168 0.168 0.331 I
0.500 0.500 0.500 I
0.832 0.832 0.669 I
0.173 0.173 0.837 I
```

Calculated values
* symmetry: C2/m (12)
* calculated volume: 347.99 Å³/cell
* raw total energy: -4.25 eV per atom

***

[14]
Here is a relaxed structure of RbGaAu from OQMD via LeMat-Bulk. Energies are from GGA-PBE.

The structure in POSCAR format:
```
RbGaAu
1.0
0.356 -5.061 2.003
-3.333 -3.904 -1.844
1.972 -4.029 -3.104
Au Ga Rb
1 1 1
direct
0.250 0.250 0.250 Au
0.750 0.750 0.750 Ga
0.000 0.000 0.000 Rb
```

Calculated values
* distance to the lowest polymorph of the same formula: 730 meV/atom
* symmetry: F-43m (216)
* calculated volume: 114.75 Å³/cell

***

[15]
Here is a relaxed structure of KBePdS3 from OQMD via LeMat-Bulk. Energies are from GGA-PBE.

The structure in POSCAR format:
```
KBePdS3
1.0
-4.831 4.401 2.707
2.317 -6.554 -1.312
4.927 -0.027 8.837
Be K Pd S
2 2 2 6
direct
0.467 0.533 0.250 Be
0.533 0.467 0.750 Be
0.740 0.260 0.250 K
0.260 0.740 0.750 K
0.000 0.000 0.000 Pd
0.000 0.000 0.500 Pd
0.392 0.608 0.066 S
0.050 0.950 0.250 S
0.392 0.608 0.434 S
0.608 0.392 0.566 S
0.950 0.050 0.750 S
0.608 0.392 0.934 S
```

Calculated values
* symmetry: Cmcm (63)
* calculated volume: 248.70 Å³/cell
* raw total energy: -4.48 eV per atom